(a)
DFT (PBE) results for a relaxed structure of Nb3IrPt.

```
Nb3IrPt
1.0
-3.3446 -2.2570 2.6148
2.6025 -4.0397 -0.1581
2.2712 1.3054 4.0318
Nb Pt Ir
3 1 1
Cartesian
-1.6723 -1.1285 1.3074 Nb
1.3012 -2.0199 -0.0790 Nb
1.1356 0.6527 2.0159 Nb
0.0000 0.0000 0.0000 Pt
0.7645 -2.4957 3.2442 Ir
```

Output
The calculation puts the magnetic moment at 0.00 μB per formula unit.



(b)
DFT (PBE) results for a relaxed structure of Nb3IrPt.

```
Nb3IrPt
1.0
-0.4444 -3.8430 2.8360
-0.6640 -2.7708 -3.8588
4.7297 -0.7501 -0.2753
Nb Ir Pt
3 1 1
Cartesian
2.3649 -0.3750 -0.1376 Nb
-0.2222 -1.9215 1.4180 Nb
-0.3320 -1.3854 -1.9294 Nb
0.0000 0.0000 0.0000 Ir
1.8107 -3.6820 -0.6491 Pt
```

Output
The calculation puts the magnetic moment at 0.00 μB per formula unit.



The calculated energies rank the structures as follows, beginning with the most stable: (b), (a).



(a)
DFT (PBE) results for a relaxed structure of NbIr3Pt.

```
NbIr3Pt
1.0
4.7101 0.0000 0.0000
0.0000 4.7101 0.0000
0.0000 0.0000 4.7101
Ir Pt Nb
3 1 1
Cartesian
2.3550 0.0000 0.0000 Ir
0.0000 0.0000 2.3550 Ir
0.0000 2.3550 0.0000 Ir
2.3550 2.3550 2.3550 Pt
0.0000 0.0000 0.0000 Nb
```

Output
The calculation puts the magnetic moment at 0.00 μB per formula unit.



(b)
DFT (PBE) results for a relaxed structure of NbIr3Pt.

```
NbIr3Pt
1.0
-2.7477 -1.7621 3.4132
1.5843 -4.3428 -0.9666
3.4992 0.5827 3.1178
Nb Ir Pt
1 3 1
Cartesian
1.1679 -2.7611 2.7822 Nb
-1.3738 -0.8810 1.7066 Ir
1.7496 0.2913 1.5589 Ir
0.7922 -2.1714 -0.4833 Ir
0.0000 0.0000 0.0000 Pt
```

Output
The calculation puts the magnetic moment at 0.00 μB per formula unit.



The calculated energies rank the structures as follows, beginning with the most stable: (a), (b).



(a)
DFT (PBE) results for a relaxed structure of PuNbIr2.

```
PuNbIr2
1.0
4.6861 0.0000 0.0000
2.3430 4.0583 0.0000
2.3430 1.3528 3.8242
Nb Ir Pu
1 2 1
Cartesian
4.6861 2.7055 1.9121 Nb
2.3430 1.3528 0.9547 Ir
7.0291 4.0583 2.8695 Ir
0.0000 0.0000 0.0000 Pu
```

Output
The calculation puts the magnetic moment at 4.60 μB per formula unit.



(b)
DFT (PBE) results for a relaxed structure of PuNbIr2.

```
PuNbIr2
1.0
-2.3403 -1.5113 -1.1020
1.7404 -2.4060 -0.3966
-1.8127 -2.5140 7.2969
Ir Pu Nb
2 1 1
Cartesian
-0.4048 -0.5615 1.6297 Ir
-1.4078 -1.9525 5.6672 Ir
-1.2062 -3.2156 2.8991 Pu
-0.2999 -1.9586 -0.7493 Nb
```

Output
The calculation puts the magnetic moment at 4.65 μB per formula unit.



(c)
DFT (PBE) results for a relaxed structure of PuNbIr2.

```
PuNbIr2
1.0
-0.0227 0.7152 -3.9141
-1.5864 -3.8420 -0.6928
-3.9039 1.5566 0.3070
Nb Ir Pu
1 2 1
Cartesian
-2.7565 -0.7851 -2.1499 Nb
-0.7932 -1.9210 -0.3464 Ir
-1.9519 0.7783 0.1535 Ir
-0.0113 0.3576 -1.9570 Pu
```

Output
The calculation puts the magnetic moment at 3.97 μB per formula unit.



The calculated energies rank the structures as follows, beginning with the most stable: (b), (c), (a).